An optimized crystal structure of Pm2HgBi. Source: Alexandria, functional PBE-GGA. Values from VASP.

Properties
Excess energy over the best structure of this formula in the dataset = 77.8 meV per atom
Theoretical density = 9.4 g/cm3
ΔE_f = -54.24 kJ per mole of atoms
Space group = No. 166

Quantum ESPRESSO input file:
```
&SYSTEM
  ibrav = 0, nat = 4, ntyp = 3
/
ATOMIC_SPECIES
Pm 145.00 Pm.upf
Hg 200.59 Hg.upf
Bi 208.98 Bi.upf
CELL_PARAMETERS angstrom
2.531 1.461 5.581
-2.531 1.461 5.581
0.000 -2.923 5.581
ATOMIC_POSITIONS angstrom
Pm 0.000 0.000 4.131
Pm 0.000 0.000 12.612
Hg 0.000 0.000 8.371
Bi 0.000 0.000 0.000
```